Entry 1:
Computed, not measured: a geometry-optimized Mg2MoPt structure at the PBE level of DFT.

abc: 4.817 4.817 4.817
angles: 128.03 128.03 76.58
Element x y z (fractional)
1 Mg 0.000 0.000 0.000
2 Mg 0.750 0.250 0.500
3 Mo 0.250 0.750 0.500
4 Pt 0.500 0.500 0.000

Summary:
magnetic moment	1.63	μB per cell
mass density	8.37	g cm⁻³
formation enthalpy at 0 K	-0.019	eV per atom
total energy	-5.035	eV/atom

=====

Entry 2:
Computed, not measured: a geometry-optimized ErMgSe structure at the PBE level of DFT.

abc: 8.155 8.155 8.155
angles: 34.80 34.80 34.80
Element x y z (fractional)
1 Er 0.085 0.085 0.085
2 Er 0.915 0.915 0.915
3 Mg 0.331 0.331 0.331
4 Mg 0.669 0.669 0.669
5 Se 0.215 0.215 0.215
6 Se 0.785 0.785 0.785

Summary:
magnetic moment	0.00	μB per cell
mass density	5.70	g cm⁻³
formation energy from raw total energies	-0.899	eV/atom
total energy	-4.113	eV/atom

=====

Entry 3:
Computed, not measured: a geometry-optimized TbCe2Ho structure at the PBE level of DFT.

abc: 4.911 4.911 5.036
angles: 90.00 90.00 90.00
Element x y z (fractional)
1 Tb 0.000 0.000 0.000
2 Ce 0.000 0.500 0.500
3 Ce 0.500 0.000 0.500
4 Ho 0.500 0.500 0.000

Summary:
magnetic moment	1.56	μB per cell
mass density	8.26	g cm⁻³
formation enthalpy at 0 K	0.106	eV per atom
total energy	-5.163	eV/atom

=====

Entry 4:
Computed, not measured: a geometry-optimized LaNd2Al9 structure at the PBE level of DFT.

abc: 9.470 9.470 9.470
angles: 35.04 35.04 35.04
Element x y z (fractional)
1 La 0.000 0.000 0.000
2 Nd 0.141 0.141 0.141
3 Nd 0.859 0.859 0.859
4 Al 0.076 0.586 0.586
5 Al 0.335 0.335 0.335
6 Al 0.414 0.414 0.924
7 Al 0.414 0.924 0.414
8 Al 0.500 0.500 0.500
9 Al 0.586 0.076 0.586
10 Al 0.586 0.586 0.076
11 Al 0.665 0.665 0.665
12 Al 0.924 0.414 0.414

Summary:
magnetic moment	0.00	μB per cell
mass density	4.45	g cm⁻³
formation enthalpy at 0 K	-0.403	eV per atom
total energy	-4.415	eV/atom

=====

Entry 5:
Computed, not measured: a geometry-optimized La8PdPt6 structure at the PBE level of DFT.

abc: 9.895 9.895 4.786
angles: 90.00 90.00 120.00
Element x y z (fractional)
1 La 0.058 0.752 0.248
2 La 0.248 0.306 0.248
3 La 0.306 0.058 0.752
4 La 0.333 0.667 0.750
5 La 0.667 0.333 0.250
6 La 0.694 0.942 0.248
7 La 0.752 0.694 0.752
8 La 0.942 0.248 0.752
9 Pd 0.000 0.000 0.500
10 Pt 0.061 0.457 0.252
11 Pt 0.396 0.939 0.252
12 Pt 0.457 0.396 0.748
13 Pt 0.543 0.604 0.252
14 Pt 0.604 0.061 0.748
15 Pt 0.939 0.543 0.748

Summary:
magnetic moment	0.00	μB per cell
mass density	9.77	g cm⁻³
formation enthalpy at 0 K	-0.953	eV per atom
total energy	-6.343	eV/atom

=====

Entry 6:
Computed, not measured: a geometry-optimized TeC5 structure at the PBE level of DFT.

abc: 5.810 5.810 2.584
angles: 90.00 90.00 95.01
Element x y z (fractional)
1 Te 0.000 0.000 0.000
2 C 0.259 0.741 0.000
3 C 0.340 0.660 0.500
4 C 0.500 0.500 0.500
5 C 0.660 0.340 0.500
6 C 0.741 0.259 0.000

Summary:
magnetic moment	0.00	μB per cell
mass density	3.59	g cm⁻³
formation energy from raw total energies	1.133	eV/atom
total energy	-7.078	eV/atom

=====

Entry 7:
Computed, not measured: a geometry-optimized Dy4Te2PdS structure at the PBE level of DFT.

abc: 7.322 4.086 7.403
angles: 90.00 108.76 90.00
Element x y z (fractional)
1 Dy 0.232 0.000 0.216
2 Dy 0.267 0.500 0.788
3 Dy 0.733 0.500 0.212
4 Dy 0.768 0.000 0.784
5 Te 0.000 0.000 0.500
6 Te 0.500 0.500 0.500
7 Pd 0.500 0.000 0.000
8 S 0.000 0.500 0.000

Summary:
magnetic moment	0.00	μB per cell
mass density	8.26	g cm⁻³
formation energy from raw total energies	-1.342	eV/atom
total energy	-5.594	eV/atom

=====

Entry 8:
Computed, not measured: a geometry-optimized K2SbAsO6 structure at the PBE level of DFT.

abc: 5.566 5.566 5.566
angles: 60.00 60.00 60.00
Element x y z (fractional)
1 K 0.250 0.250 0.250
2 K 0.750 0.750 0.750
3 Sb 0.000 0.000 0.000
4 As 0.500 0.500 0.500
5 O 0.258 0.258 0.742
6 O 0.258 0.742 0.258
7 O 0.258 0.742 0.742
8 O 0.742 0.258 0.258
9 O 0.742 0.258 0.742
10 O 0.742 0.742 0.258

Summary:
magnetic moment	0.00	μB per cell
mass density	5.05	g cm⁻³
formation energy from raw total energies	-1.294	eV/atom
total energy	-5.366	eV/atom

=====

Entry 9:
Computed, not measured: a geometry-optimized CdAsNF2 structure at the PBE level of DFT.

abc: 4.173 4.173 4.172
angles: 90.00 90.00 90.00
Element x y z (fractional)
1 Cd 0.000 0.000 0.000
2 As 0.500 0.500 0.500
3 N 0.500 0.500 0.000
4 F 0.000 0.500 0.500
5 F 0.500 0.000 0.500

Summary:
magnetic moment	0.00	μB per cell
mass density	5.47	g cm⁻³
formation energy from raw total energies	-0.443	eV/atom
total energy	-3.969	eV/atom

=====

Entry 10:
Computed, not measured: a geometry-optimized Na2CrPd structure at the PBE level of DFT.

abc: 4.878 4.878 4.878
angles: 60.00 60.00 60.00
Element x y z (fractional)
1 Na 0.250 0.250 0.250
2 Na 0.750 0.750 0.750
3 Cr 0.000 0.000 0.000
4 Pd 0.500 0.500 0.500

Summary:
magnetic moment	4.77	μB per cell
mass density	4.14	g cm⁻³
formation enthalpy at 0 K	0.500	eV per atom
total energy	-3.864	eV/atom

=====

Entry 11:
Computed, not measured: a geometry-optimized Tm5Th5Sc2 structure at the PBE level of DFT.

abc: 7.698 7.698 11.087
angles: 114.34 114.34 37.74
Element x y z (fractional)
1 Tm 0.000 0.000 0.000
2 Tm 0.082 0.082 0.748
3 Tm 0.170 0.170 0.504
4 Tm 0.830 0.830 0.496
5 Tm 0.918 0.918 0.252
6 Th 0.247 0.247 0.247
7 Th 0.333 0.333 0.996
8 Th 0.500 0.500 0.500
9 Th 0.667 0.667 0.004
10 Th 0.753 0.753 0.753
11 Sc 0.417 0.417 0.748
12 Sc 0.583 0.583 0.252

Summary:
magnetic moment	0.00	μB per cell
mass density	9.61	g cm⁻³
formation enthalpy at 0 K	0.049	eV per atom
total energy	-5.961	eV/atom

=====

Entry 12:
Computed, not measured: a geometry-optimized Ce2In8Co structure at the PBE level of DFT.

abc: 4.656 4.656 12.279
angles: 90.00 90.00 90.00
Element x y z (fractional)
1 Ce 0.000 0.000 0.195
2 Ce 0.000 0.000 0.805
3 In 0.000 0.500 0.000
4 In 0.000 0.500 0.382
5 In 0.000 0.500 0.618
6 In 0.500 0.000 0.000
7 In 0.500 0.000 0.382
8 In 0.500 0.000 0.618
9 In 0.500 0.500 0.193
10 In 0.500 0.500 0.807
11 Co 0.000 0.000 0.500

Summary:
magnetic moment	1.51	μB per cell
mass density	7.85	g cm⁻³
formation enthalpy at 0 K	-0.308	eV per atom
total energy	-4.025	eV/atom

=====

Entry 13:
Computed, not measured: a geometry-optimized TlN2O2 structure at the PBE level of DFT.

abc: 3.822 3.822 3.745
angles: 90.00 90.00 90.00
Element x y z (fractional)
1 Tl 0.000 0.000 0.000
2 N 0.000 0.500 0.500
3 N 0.500 0.000 0.500
4 O 0.500 0.500 0.000
5 O 0.500 0.500 0.500

Summary:
magnetic moment	2.33	μB per cell
mass density	8.02	g cm⁻³
formation energy from raw total energies	1.996	eV/atom
total energy	-3.791	eV/atom

=====

Entry 14:
Computed, not measured: a geometry-optimized BaSnBr4 structure at the PBE level of DFT.

abc: 8.712 8.712 8.712
angles: 107.36 107.36 113.78
Element x y z (fractional)
1 Ba 0.000 0.000 0.000
2 Ba 0.750 0.250 0.500
3 Sn 0.254 0.754 0.500
4 Sn 0.504 0.504 0.000
5 Br 0.022 0.333 0.311
6 Br 0.022 0.711 0.689
7 Br 0.083 0.272 0.811
8 Br 0.461 0.272 0.189
9 Br 0.489 0.194 0.705
10 Br 0.489 0.785 0.295
11 Br 0.535 0.739 0.795
12 Br 0.944 0.739 0.205

Summary:
magnetic moment	0.00	μB per cell
mass density	3.77	g cm⁻³
formation energy from raw total energies	-1.448	eV/atom
total energy	-3.551	eV/atom

=====

Entry 15:
Computed, not measured: a geometry-optimized Ba2OsW structure at the PBE level of DFT.

abc: 4.223 4.223 5.564
angles: 90.00 90.00 90.00
Element x y z (fractional)
1 Ba 0.000 0.500 0.000
2 Ba 0.500 0.000 0.000
3 Os 0.000 0.000 0.500
4 W 0.500 0.500 0.500

Summary:
magnetic moment	0.00	μB per cell
mass density	10.86	g cm⁻³
formation enthalpy at 0 K	1.568	eV per atom
total energy	-5.439	eV/atom

=====

Entry 16:
Computed, not measured: a geometry-optimized BeB3N structure at the PBE level of DFT.

abc: 3.464 3.464 3.464
angles: 90.00 90.00 90.00
Element x y z (fractional)
1 Be 0.000 0.000 0.000
2 B 0.000 0.000 0.500
3 B 0.000 0.500 0.000
4 B 0.500 0.000 0.000
5 N 0.500 0.500 0.500

Summary:
magnetic moment	0.20	μB per cell
mass density	2.22	g cm⁻³
formation energy from raw total energies	2.302	eV/atom
total energy	-4.115	eV/atom